Crystalline ZrSiNi2O at its relaxed geometry, computed with GGA+U.

abc: 4.7639 4.7639 3.9196
angles: 90.00 90.00 90.00
Fractional coordinates of all 5 atoms:
1 Zr 0.0000 0.0000 0.0000
2 Si 0.5000 0.5000 0.5000
3 Ni 0.0000 0.5000 0.0000
4 Ni 0.5000 0.0000 0.0000
5 O 0.0000 0.0000 0.5000

Total energy, eV/atom: -4.10
Magnetic moment, μB per formula unit: 0.00
DOS at the Fermi energy, states/eV per atom: 0.42